#a
Entry from Alexandria: crystalline NdDy12Tm6 at its relaxed geometry (GGA-PBE).

Calculated values
**Size of the total moment**: 0.00 μB/f.u.

Cell: 8.478 8.478 8.478 Å, 88.37 88.37 88.37°
Fractional coordinates of all 19 atoms:
Dy1 0.775 0.542 0.435
Dy2 0.225 0.458 0.565
Dy3 0.794 0.642 0.990
Dy4 0.542 0.435 0.775
Dy5 0.990 0.794 0.642
Dy6 0.642 0.990 0.794
Tm1 0.690 0.257 0.095
Dy7 0.358 0.010 0.206
Dy8 0.458 0.565 0.225
Tm2 0.743 0.905 0.310
Tm3 0.310 0.743 0.905
Nd1 0.000 0.000 0.000
Tm4 0.257 0.095 0.690
Dy9 0.010 0.206 0.358
Dy10 0.565 0.225 0.458
Dy11 0.435 0.775 0.542
Dy12 0.206 0.358 0.010
Tm5 0.905 0.310 0.743
Tm6 0.095 0.690 0.257

#b
Entry from Alexandria: crystalline NdDy12Tm6 at its relaxed geometry (GGA-PBE).

Calculated values
**Size of the total moment**: 0.00 μB/f.u.

Cell: 9.242 9.242 9.242 Å, 107.60 107.60 107.60°
Fractional coordinates of all 19 atoms:
Tm1 0.689 0.268 0.689
Dy1 0.368 0.368 0.148
Dy2 0.368 0.148 0.368
Tm2 0.311 0.732 0.311
Dy3 0.632 0.852 0.632
Dy4 0.111 0.889 0.500
Dy5 0.889 0.500 0.111
Dy6 0.148 0.368 0.368
Dy7 0.852 0.632 0.632
Dy8 0.632 0.632 0.852
Tm3 0.311 0.311 0.732
Dy9 0.500 0.889 0.111
Tm4 0.732 0.311 0.311
Dy10 0.500 0.111 0.889
Tm5 0.689 0.689 0.268
Dy11 0.111 0.500 0.889
Nd1 0.000 0.000 0.000
Tm6 0.268 0.689 0.689
Dy12 0.889 0.111 0.500

It is #a that is most stable; the runner-up trails by 0.280 eV/atom.

#a
Entry from Alexandria: crystalline Nd3Dy2Tm3 at its relaxed geometry (GGA-PBE).

Calculated values
**Size of the total moment**: 0.00 μB/f.u.

Cell: 5.031 5.067 10.738 Å, 103.65 103.55 90.00°
Fractional coordinates of all 8 atoms:
Tm1 0.874 0.874 0.748
Nd1 0.500 0.000 0.000
Tm2 0.126 0.126 0.252
Nd2 0.375 0.375 0.751
Dy1 0.251 0.751 0.502
Dy2 0.749 0.249 0.498
Nd3 0.625 0.625 0.249
Tm3 0.000 0.500 0.000

#b
Entry from Alexandria: crystalline Nd3Dy2Tm3 at its relaxed geometry (GGA-PBE).

Calculated values
**Size of the total moment**: 0.00 μB/f.u.

Cell: 5.933 5.942 8.481 Å, 110.55 110.48 90.00°
Fractional coordinates of all 8 atoms:
Nd1 0.500 0.500 0.000
Nd2 0.629 0.129 0.258
Tm1 0.876 0.376 0.752
Dy1 0.248 0.248 0.495
Tm2 0.124 0.624 0.248
Dy2 0.752 0.752 0.505
Tm3 0.000 0.000 0.000
Nd3 0.371 0.871 0.742

It is #a that is most stable; the runner-up trails by 0.105 eV/atom.